## w
5
Lattice="5.4600 0.0000 0.0000 0.0000 5.4600 0.0000 0.0000 0.0000 5.4600" Properties=species:S:1:pos:R:3 comment="KHgGe3 (SCAN, single point on PBEsol structure)" magnetic_moment_mub_per_atom=0.000 dos_ef_per_ev_atom=0.72 pbc="T T T"
Ge 2.7300 0.0000 0.0000
Ge 0.0000 0.0000 2.7300
K 0.0000 0.0000 0.0000
Ge 0.0000 2.7300 0.0000
Hg 2.7300 2.7300 2.7300


## x
5
Lattice="5.3020 0.0000 0.0000 0.0000 5.3020 0.0000 0.0000 0.0000 5.3020" Properties=species:S:1:pos:R:3 comment="KHgGe3 (SCAN, single point on PBEsol structure)" magnetic_moment_mub_per_atom=0.000 dos_ef_per_ev_atom=0.66 pbc="T T T"
Ge 2.6510 0.0000 0.0000
K 2.6510 2.6510 2.6510
Ge 0.0000 0.0000 2.6510
Ge 0.0000 2.6510 0.0000
Hg 0.0000 0.0000 0.0000


Stability summary - winner: x; margin: 1036 meV/atom.